Below is crystalline LaTmCu at its relaxed geometry, with properties calculated at the GGA-PBE level.

As for the calculated density: 7.3 g cm⁻³. The energy of formation from the pure elements is 0.052 eV/atom.

The space group is R-3m (No. 166, hexagonal axes) and the conventional cell measures 4.6913, 4.6913 and 26.7274 Å, with angles of 90.00, 90.00 and 120.00 degrees. The asymmetric unit holds La at (0.0000, 0.0000, 0.1227), Tm at (0.0000, 0.0000, 0.3694) and Cu at (0.0000, 0.0000, 0.2613).

***

Below is crystalline LaTmCu2 at its relaxed geometry, with properties calculated at the GGA-PBE level.

As for the calculated density: 8.2 g cm⁻³. The energy of formation from the pure elements is -0.215 eV/atom.

The space group is P4/mmm (No. 123) and the conventional cell measures 3.498, 3.498 and 7.190 Å, with angles of 90.00, 90.00 and 90.00 degrees. The asymmetric unit holds La at (0.000, 0.000, 0.000), Tm at (0.000, 0.000, 0.500) and Cu at (0.500, 0.500, 0.284).

***

Below is crystalline La2TmCu9 at its relaxed geometry, with properties calculated at the GGA-PBE level.

As for the calculated density: 8.5 g cm⁻³. The energy of formation from the pure elements is -0.144 eV/atom.

The space group is R-3m (No. 166, hexagonal axes) and the conventional cell measures 5.1866, 5.1866 and 25.7148 Å, with angles of 90.00, 90.00 and 120.00 degrees. The asymmetric unit holds La at (0.0000, 0.0000, 0.1412), Tm at (0.0000, 0.0000, 0.0000), Cu at (0.0000, 0.0000, 0.3318), Cu at (0.0000, 0.0000, 0.5000) and Cu at (0.0045, 0.5022, 0.0782).

***

Below is crystalline La5TmCu6 at its relaxed geometry, with properties calculated at the GGA-PBE level.

As for the calculated density: 7.3 g cm⁻³. The energy of formation from the pure elements is -0.155 eV/atom.

The space group is C2/m (No. 12) and the conventional cell measures 16.218, 7.212 and 5.103 Å, with angles of 90.00, 108.20 and 90.00 degrees. The asymmetric unit holds La at (0.000, 0.000, 0.000), La at (0.166, 0.000, 0.666), La at (0.170, 0.500, 0.670), Tm at (0.000, 0.500, 0.000), Cu at (0.000, 0.281, 0.500) and Cu at (0.157, 0.266, 0.159).

***

Below is crystalline LaTm2Cu6 at its relaxed geometry, with properties calculated at the GGA-PBE level.

As for the calculated density: 8.4 g cm⁻³. The energy of formation from the pure elements is -0.233 eV/atom.

The space group is P6/mmm (No. 191) and the conventional cell measures 7.3504, 7.3504 and 3.6248 Å, with angles of 90.00, 90.00 and 120.00 degrees. The asymmetric unit holds La at (0.0000, 0.0000, 0.0000), Tm at (0.3333, 0.6667, 0.0000) and Cu at (0.0000, 0.3376, 0.5000).

***

Below is crystalline LaV2Cu at its relaxed geometry, with properties calculated at the GGA-PBE level.

As for the calculated density: 7.8 g cm⁻³. The energy of formation from the pure elements is 0.650 eV/atom.

The space group is Fm-3m (No. 225) and the conventional cell measures 6.385, 6.385 and 6.385 Å, with angles of 90.00, 90.00 and 90.00 degrees. The asymmetric unit holds La at (0.000, 0.000, 0.000), V at (0.250, 0.250, 0.250) and Cu at (0.000, 0.000, 0.500).

***

Below is crystalline LaV2Cu2 at its relaxed geometry, with properties calculated at the GGA-PBE level.

As for the calculated density: 6.9 g cm⁻³. The energy of formation from the pure elements is 0.400 eV/atom.

The space group is I4/mmm (No. 139) and the conventional cell measures 4.009, 4.009 and 10.993 Å, with angles of 90.00, 90.00 and 90.00 degrees. The asymmetric unit holds La at (0.000, 0.000, 0.000), V at (0.000, 0.000, 0.389) and Cu at (0.000, 0.500, 0.250).

***

Below is crystalline LaV3Cu at its relaxed geometry, with properties calculated at the GGA-PBE level.

As for the calculated density: 5.7 g cm⁻³. The energy of formation from the pure elements is 0.918 eV/atom.

The space group is Pm-3m (No. 221) and the conventional cell measures 4.703, 4.703 and 4.703 Å, with angles of 90.00, 90.00 and 90.00 degrees. The asymmetric unit holds La at (0.000, 0.000, 0.000), V at (0.000, 0.500, 0.500) and Cu at (0.500, 0.500, 0.500).

***

Below is crystalline LaVCu2 at its relaxed geometry, with properties calculated at the GGA-PBE level.

As for the calculated density: 6.8 g cm⁻³. The energy of formation from the pure elements is 0.237 eV/atom.

The space group is Fm-3m (No. 225) and the conventional cell measures 6.770, 6.770 and 6.770 Å, with angles of 90.00, 90.00 and 90.00 degrees. The asymmetric unit holds La at (0.000, 0.000, 0.000), V at (0.000, 0.000, 0.500) and Cu at (0.250, 0.250, 0.250).

***

Below is crystalline LaV2Cu at its relaxed geometry, with properties calculated at the GGA-PBE level.

As for the calculated density: 5.9 g cm⁻³. The energy of formation from the pure elements is 0.642 eV/atom.

The space group is I-42d (No. 122) and the conventional cell measures 4.244, 4.244 and 19.162 Å, with angles of 90.00, 90.00 and 90.00 degrees. The asymmetric unit holds La at (0.000, 0.000, 0.000), V at (0.018, 0.750, 0.625) and Cu at (0.000, 0.000, 0.500).

***

Below is crystalline LaVCu2 at its relaxed geometry, with properties calculated at the GGA-PBE level.

As for the calculated density: 5.7 g cm⁻³. The energy of formation from the pure elements is 0.472 eV/atom.

The space group is I-42d (No. 122) and the conventional cell measures 4.573, 4.573 and 17.518 Å, with angles of 90.00, 90.00 and 90.00 degrees. The asymmetric unit holds La at (0.000, 0.000, 0.000), V at (0.000, 0.000, 0.500) and Cu at (0.042, 0.250, 0.625).

***

Below is crystalline LaV2Cu2 at its relaxed geometry, with properties calculated at the GGA-PBE level.

As for the calculated density: 7.5 g cm⁻³. The energy of formation from the pure elements is 0.307 eV/atom.

The space group is P4/mbm (No. 127) and the conventional cell measures 7.656, 7.656 and 2.797 Å, with angles of 90.00, 90.00 and 90.00 degrees. The asymmetric unit holds La at (0.000, 0.000, 0.000), V at (0.107, 0.393, 0.000) and Cu at (0.181, 0.681, 0.500).

***

Below is crystalline La3VCu at its relaxed geometry, with properties calculated at the GGA-PBE level.

As for the calculated density: 5.7 g cm⁻³. The energy of formation from the pure elements is 0.497 eV/atom.

The space group is Pm-3m (No. 221) and the conventional cell measures 5.363, 5.363 and 5.363 Å, with angles of 90.00, 90.00 and 90.00 degrees. The asymmetric unit holds La at (0.000, 0.000, 0.500), V at (0.000, 0.000, 0.000) and Cu at (0.500, 0.500, 0.500).

***

Below is crystalline LaV3Cu at its relaxed geometry, with properties calculated at the GGA-PBE level.

As for the calculated density: 6.4 g cm⁻³. The energy of formation from the pure elements is 1.736 eV/atom.

The space group is Pm-3m (No. 221) and the conventional cell measures 4.519, 4.519 and 4.519 Å, with angles of 90.00, 90.00 and 90.00 degrees. The asymmetric unit holds La at (0.000, 0.000, 0.000), V at (0.000, 0.000, 0.500) and Cu at (0.500, 0.500, 0.500).

***

Below is crystalline LaY2VCu at its relaxed geometry, with properties calculated at the GGA-PBE level.

As for the calculated density: 4.9 g cm⁻³. The energy of formation from the pure elements is 0.625 eV/atom.

The space group is P4/mmm (No. 123) and the conventional cell measures 5.233, 5.233 and 5.324 Å, with angles of 90.00, 90.00 and 90.00 degrees. The asymmetric unit holds La at (0.000, 0.000, 0.000), Y at (0.000, 0.500, 0.500), V at (0.000, 0.000, 0.500) and Cu at (0.500, 0.500, 0.000).

***

Below is crystalline LaCuW2 at its relaxed geometry, with properties calculated at the GGA-PBE level.

As for the calculated density: 12.2 g cm⁻³. The energy of formation from the pure elements is 0.819 eV/atom.

The space group is P4/mmm (No. 123) and the conventional cell measures 3.964, 3.964 and 4.920 Å, with angles of 90.00, 90.00 and 90.00 degrees. The asymmetric unit holds La at (0.000, 0.000, 0.000), Cu at (0.500, 0.500, 0.000) and W at (0.000, 0.500, 0.500).

***

Below is crystalline LaCuW4 at its relaxed geometry, with properties calculated at the GGA-PBE level.

As for the calculated density: 13.4 g cm⁻³. The energy of formation from the pure elements is 0.706 eV/atom.

The space group is F-43m (No. 216) and the conventional cell measures 7.746, 7.746 and 7.746 Å, with angles of 90.00, 90.00 and 90.00 degrees. The asymmetric unit holds La at (0.000, 0.000, 0.000), Cu at (0.250, 0.250, 0.250) and W at (0.125, 0.125, 0.625).

***

Below is crystalline LaCuW at its relaxed geometry, with properties calculated at the GGA-PBE level.

As for the calculated density: 10.7 g cm⁻³. The energy of formation from the pure elements is 0.727 eV/atom.

The space group is P-6m2 (No. 187) and the conventional cell measures 4.8435, 4.8435 and 2.9545 Å, with angles of 90.00, 90.00 and 120.00 degrees. The asymmetric unit holds La at (0.0000, 0.0000, 0.0000), Cu at (0.3333, 0.6667, 0.5000) and W at (0.6667, 0.3333, 0.5000).

***

Below is crystalline LaCuW at its relaxed geometry, with properties calculated at the GGA-PBE level.

As for the calculated density: 11.1 g cm⁻³. The energy of formation from the pure elements is 0.726 eV/atom.

The space group is P3m1 (No. 156) and the conventional cell measures 2.9492, 2.9492 and 7.6793 Å, with angles of 90.00, 90.00 and 120.00 degrees. The asymmetric unit holds La at (0.0000, 0.0000, 0.0000), Cu at (0.3333, 0.6667, 0.6388) and W at (0.6667, 0.3333, 0.3719).

***

Below is crystalline LaCuW2 at its relaxed geometry, with properties calculated at the GGA-PBE level.

As for the calculated density: 11.6 g cm⁻³. The energy of formation from the pure elements is 0.687 eV/atom.

The space group is P2/m (No. 10) and the conventional cell measures 3.632, 4.838 and 4.773 Å, with angles of 90.00, 103.24 and 90.00 degrees. The asymmetric unit holds La at (0.000, 0.000, 0.000), Cu at (0.500, 0.000, 0.500) and W at (0.321, 0.500, 0.692).